1.
This record from Alexandria via LeMat-Bulk describes a relaxed Mg2RhPb crystal. The functional is PBE.

Unit cell a=3.5513 b=3.5513 c=6.3126 alpha=90.00 beta=90.00 gamma=90.00
Last column: nearest neighbours and their distance in Å.
Space group P4mm (No. 99)
Inequivalent atoms, fractional coordinates:
Mg1 0.0000 0.0000 0.0000 (multiplicity 1)  4 Rh 2.79, 1 Pb 2.82, 4 Mg 3.00
Mg2 0.5000 0.5000 0.2608 (multiplicity 1)  1 Rh 2.85, 4 Mg 3.00, 4 Pb 3.12
Rh1 0.5000 0.5000 0.8089 (multiplicity 1)  5 Mg 2.79-2.85, 4 Pb 2.99
Pb1 0.0000 0.0000 0.5532 (multiplicity 1)  5 Mg 2.82-3.12, 4 Rh 2.99

Properties
theoretical density: 7.5 g cm⁻³
DFT formation energy: -0.162 eV per atom

---

2.
This record from Alexandria via LeMat-Bulk describes a relaxed Mg2RhPb crystal. The functional is PBE.

Unit cell a=3.2297 b=3.3380 c=7.5073 alpha=90.00 beta=90.49 gamma=90.00
Last column: nearest neighbours and their distance in Å.
Space group P2/m (No. 10)
Inequivalent atoms, fractional coordinates:
Mg1 0.0032 0.0000 0.1894 (multiplicity 2)  4 Rh 2.72, 1 Mg 2.84
Rh1 0.5000 0.5000 0.0000 (multiplicity 1)  8 Mg 2.72
Pb1 0.5000 0.5000 0.5000 (multiplicity 1)  4 Pb 3.23-3.34, 8 Mg 3.28-3.31

Properties
theoretical density: 7.4 g cm⁻³
DFT formation energy: -0.305 eV per atom